Entry 1:
Material: TmMgAlZn6
Method: DFT, PBE
State: relaxed

Lattice parameters (Å, degrees): 6.886 9.219 10.944 90.00 90.00 90.00
Space group Imma (No. 74)
Unique sites:
Tm 0.000 0.250 0.203 (multiplicity 4)
Mg 0.250 0.250 0.750 (multiplicity 4)
Al 0.000 0.000 0.000 (multiplicity 4)
Zn 0.000 0.250 0.512 (multiplicity 4)
Zn 0.000 0.250 0.934 (multiplicity 4)
Zn 0.185 0.030 0.371 (multiplicity 16)

Properties
Energy of formation from the pure elements, eV per atom: 0.015
Total magnetization, μB per formula unit: 0.0
Density of states at the Fermi level, states/eV/atom: 0.45

Entry 2:
Material: P2RuO
Method: DFT, PBE
State: relaxed

Lattice parameters (Å, degrees): 5.090 5.090 9.649 90.00 90.00 90.00
Space group I-42d (No. 122)
Unique sites:
P 0.231 0.250 0.125 (multiplicity 8)
Ru 0.000 0.000 0.500 (multiplicity 4)
O 0.000 0.000 0.000 (multiplicity 4)

Properties
Uncorrected formation energy, eV/atom: -0.056
Total magnetization, μB per formula unit: 0.0
Density of states at the Fermi level, states/eV/atom: 0.43

Entry 3:
Material: BaSr3Al8
Method: DFT, PBE
State: relaxed

Lattice parameters (Å, degrees): 5.9459 5.9459 9.5885 90.00 90.00 120.00
Space group P3m1 (No. 156)
Unique sites:
Ba 0.0000 0.0000 0.0000 (multiplicity 1)
Sr 0.0000 0.0000 0.3651 (multiplicity 1)
Sr 0.6667 0.3333 0.5005 (multiplicity 1)
Sr 0.6667 0.3333 0.8678 (multiplicity 1)
Al 0.1652 0.3304 0.6794 (multiplicity 3)
Al 0.3333 0.6667 0.4363 (multiplicity 1)
Al 0.3333 0.6667 0.9383 (multiplicity 1)
Al 0.5027 0.0055 0.1879 (multiplicity 3)

Properties
Energy of formation from the pure elements, eV per atom: -0.217
Total magnetization, μB per formula unit: 0.0
Density of states at the Fermi level, states/eV/atom: 0.58

Entry 4:
Material: LiErZrZn
Method: DFT, PBE
State: relaxed

Lattice parameters (Å, degrees): 6.902 6.902 6.902 90.00 90.00 90.00
Space group F-43m (No. 216)
Unique sites:
Li 0.000 0.000 0.000 (multiplicity 4)
Er 0.250 0.250 0.250 (multiplicity 4)
Zr 0.250 0.250 0.750 (multiplicity 4)
Zn 0.000 0.000 0.500 (multiplicity 4)

Properties
Energy of formation from the pure elements, eV per atom: -0.015
Total magnetization, μB per formula unit: 0.0
Density of states at the Fermi level, states/eV/atom: 1.08